Entry w
Entry from OQMD: a relaxed structure of LiAgB4 (GGA-PBE).

Values from the calculation:
* symmetry: No. 191
* crystal system: hexagonal

Cell: 3.0093 3.0093 7.3110 Å, 90.00 90.00 120.00°
Element x y z (fractional)
Li: 0.0000 0.0000 0.0000
Ag: 0.0000 0.0000 0.5000
B: 0.3333 0.6667 0.2290
B: 0.3333 0.6667 0.7710
B: 0.6667 0.3333 0.2290
B: 0.6667 0.3333 0.7710

Entry x
Entry from OQMD: a relaxed structure of LiAgB4 (GGA-PBE).

Values from the calculation:
* symmetry: No. 71
* crystal system: orthorhombic

Cell: 4.7831 4.7831 4.7831 Å, 143.56 113.97 77.84°
Element x y z (fractional)
Li: 0.0000 0.0000 0.0000
Ag: 0.5000 0.5000 0.0000
B: 0.0773 0.7429 0.3344
B: 0.4084 0.7429 0.6656
B: 0.5916 0.2571 0.3344
B: 0.9227 0.2571 0.6656

Most stable one: entry x, least stable one: entry w.

Entry w
Entry from OQMD: a relaxed structure of LiNiAgB (GGA-PBE).

Values from the calculation:
* symmetry: No. 216
* crystal system: cubic

Cell: 4.0401 4.0401 4.0401 Å, 60.00 60.00 60.00°
Element x y z (fractional)
Li: 0.0000 0.0000 0.0000
Ni: 0.7500 0.7500 0.7500
Ag: 0.5000 0.5000 0.5000
B: 0.2500 0.2500 0.2500

Entry x
Entry from OQMD: a relaxed structure of LiNiAgB (GGA-PBE).

Values from the calculation:
* symmetry: No. 216
* crystal system: cubic

Cell: 4.0173 4.0173 4.0173 Å, 60.00 60.00 60.00°
Element x y z (fractional)
Li: 0.0000 0.0000 0.0000
Ni: 0.5000 0.5000 0.5000
Ag: 0.7500 0.7500 0.7500
B: 0.2500 0.2500 0.2500

Most stable one: entry x, least stable one: entry w.

Entry w
Entry from OQMD: a relaxed structure of MgNiAgB (GGA-PBE).

Values from the calculation:
* symmetry: No. 216
* crystal system: cubic

Cell: 4.2024 4.2024 4.2024 Å, 60.00 60.00 60.00°
Element x y z (fractional)
Mg: 0.0000 0.0000 0.0000
Ni: 0.7500 0.7500 0.7500
Ag: 0.5000 0.5000 0.5000
B: 0.2500 0.2500 0.2500

Entry x
Entry from OQMD: a relaxed structure of MgNiAgB (GGA-PBE).

Values from the calculation:
* symmetry: No. 216
* crystal system: cubic

Cell: 4.1992 4.1992 4.1992 Å, 60.00 60.00 60.00°
Element x y z (fractional)
Mg: 0.0000 0.0000 0.0000
Ni: 0.5000 0.5000 0.5000
Ag: 0.7500 0.7500 0.7500
B: 0.2500 0.2500 0.2500

Most stable one: entry x, least stable one: entry w.

Entry w
Entry from OQMD: a relaxed structure of AgBNO (GGA-PBE).

Values from the calculation:
* symmetry: No. 129
* crystal system: tetragonal

Cell: 2.9180 2.9180 9.5538 Å, 90.00 90.00 90.00°
Element x y z (fractional)
Ag: 0.2500 0.2500 0.1949
Ag: 0.7500 0.7500 0.8051
B: 0.2500 0.7500 0.5000
B: 0.7500 0.2500 0.5000
N: 0.2500 0.2500 0.5680
N: 0.7500 0.7500 0.4320
O: 0.2500 0.7500 0.0000
O: 0.7500 0.2500 0.0000

Entry x
Entry from OQMD: a relaxed structure of AgBNO (GGA-PBE).

Values from the calculation:
* symmetry: No. 129
* crystal system: tetragonal

Cell: 3.5176 3.5176 6.9010 Å, 90.00 90.00 90.00°
Element x y z (fractional)
Ag: 0.2500 0.7500 0.0000
Ag: 0.7500 0.2500 0.0000
B: 0.2500 0.2500 0.4091
B: 0.7500 0.7500 0.5909
N: 0.2500 0.2500 0.2039
N: 0.7500 0.7500 0.7961
O: 0.2500 0.7500 0.5000
O: 0.7500 0.2500 0.5000

Most stable one: entry x, least stable one: entry w.

Entry w
Entry from OQMD: a relaxed structure of AgBNO (GGA-PBE).

Values from the calculation:
* symmetry: No. 26
* crystal system: orthorhombic

Cell: 2.6159 5.8163 4.9303 Å, 90.00 90.00 90.00°
Element x y z (fractional)
Ag: 0.0000 0.1295 0.0000
Ag: 0.0000 0.8705 0.5000
B: 0.5000 0.3850 0.5407
B: 0.5000 0.6150 0.0407
N: 0.5000 0.4058 0.8577
N: 0.5000 0.5942 0.3577
O: 0.0000 0.2563 0.4721
O: 0.0000 0.7437 0.9721

Entry x
Entry from OQMD: a relaxed structure of AgBNO (GGA-PBE).

Values from the calculation:
* symmetry: No. 26
* crystal system: orthorhombic

Cell: 2.7433 5.8524 4.6342 Å, 90.00 90.00 90.00°
Element x y z (fractional)
Ag: 0.0000 0.1306 0.0000
Ag: 0.0000 0.8694 0.5000
B: 0.5000 0.3693 0.5183
B: 0.5000 0.6307 0.0183
N: 0.0000 0.2411 0.4668
N: 0.0000 0.7589 0.9668
O: 0.5000 0.4280 0.8362
O: 0.5000 0.5720 0.3362

Entry y
Entry from OQMD: a relaxed structure of AgBNO (GGA-PBE).

Values from the calculation:
* symmetry: No. 129
* crystal system: tetragonal

Cell: 2.9493 2.9493 9.5560 Å, 90.00 90.00 90.00°
Element x y z (fractional)
Ag: 0.2500 0.2500 0.1934
Ag: 0.7500 0.7500 0.8066
B: 0.2500 0.7500 0.5000
B: 0.7500 0.2500 0.5000
N: 0.2500 0.2500 0.4317
N: 0.7500 0.7500 0.5683
O: 0.2500 0.7500 0.0000
O: 0.7500 0.2500 0.0000

Most stable one: entry x, least stable one: entry y.

Entry w
Entry from OQMD: a relaxed structure of NbAgB4 (GGA-PBE).

Values from the calculation:
* symmetry: No. 71
* crystal system: orthorhombic

Cell: 4.7839 4.7839 4.7839 Å, 142.53 113.69 78.73°
Element x y z (fractional)
Nb: 0.0000 0.0000 0.0000
Ag: 0.5000 0.5000 0.0000
B: 0.0626 0.7372 0.3254
B: 0.4118 0.7372 0.6746
B: 0.5882 0.2628 0.3254
B: 0.9374 0.2628 0.6746

Entry x
Entry from OQMD: a relaxed structure of NbAgB4 (GGA-PBE).

Values from the calculation:
* symmetry: No. 191
* crystal system: hexagonal

Cell: 3.0376 3.0376 7.7697 Å, 90.00 90.00 120.00°
Element x y z (fractional)
Nb: 0.0000 0.0000 0.0000
Ag: 0.0000 0.0000 0.5000
B: 0.3333 0.6667 0.2171
B: 0.3333 0.6667 0.7829
B: 0.6667 0.3333 0.2171
B: 0.6667 0.3333 0.7829

Most stable one: entry x, least stable one: entry w.

Entry w
Entry from OQMD: a relaxed structure of NdAgB4 (GGA-PBE).

Values from the calculation:
* symmetry: No. 71
* crystal system: orthorhombic

Cell: 5.2460 5.2460 5.2460 Å, 144.94 117.20 74.00°
Element x y z (fractional)
Nd: 0.0000 0.0000 0.0000
Ag: 0.5000 0.5000 0.0000
B: 0.0619 0.7427 0.3192
B: 0.4235 0.7427 0.6808
B: 0.5765 0.2573 0.3192
B: 0.9381 0.2573 0.6808

Entry x
Entry from OQMD: a relaxed structure of NdAgB4 (GGA-PBE).

Values from the calculation:
* symmetry: No. 191
* crystal system: hexagonal

Cell: 3.2461 3.2461 7.5765 Å, 90.00 90.00 120.00°
Element x y z (fractional)
Nd: 0.0000 0.0000 0.0000
Ag: 0.0000 0.0000 0.5000
B: 0.3333 0.6667 0.2650
B: 0.3333 0.6667 0.7350
B: 0.6667 0.3333 0.2650
B: 0.6667 0.3333 0.7350

Most stable one: entry w, least stable one: entry x.

Entry w
Entry from OQMD: a relaxed structure of NiAgB (GGA-PBE).

Values from the calculation:
* symmetry: No. 216
* crystal system: cubic

Cell: 3.9081 3.9081 3.9081 Å, 60.00 60.00 60.00°
Element x y z (fractional)
Ni: 0.0000 0.0000 0.0000
Ag: 0.7500 0.7500 0.7500
B: 0.5000 0.5000 0.5000

Entry x
Entry from OQMD: a relaxed structure of NiAgB (GGA-PBE).

Values from the calculation:
* symmetry: No. 216
* crystal system: cubic

Cell: 3.8598 3.8598 3.8598 Å, 60.00 60.00 60.00°
Element x y z (fractional)
Ni: 0.0000 0.0000 0.0000
Ag: 0.7500 0.7500 0.7500
B: 0.2500 0.2500 0.2500

Most stable one: entry x, least stable one: entry w.

Entry w
Entry from OQMD: a relaxed structure of NiAgBPd (GGA-PBE).

Values from the calculation:
* symmetry: No. 216
* crystal system: cubic

Cell: 4.1694 4.1694 4.1694 Å, 60.00 60.00 60.00°
Element x y z (fractional)
Ni: 0.0000 0.0000 0.0000
Ag: 0.2500 0.2500 0.2500
B: 0.7500 0.7500 0.7500
Pd: 0.5000 0.5000 0.5000

Entry x
Entry from OQMD: a relaxed structure of NiAgBPd (GGA-PBE).

Values from the calculation:
* symmetry: No. 216
* crystal system: cubic

Cell: 4.1254 4.1254 4.1254 Å, 60.00 60.00 60.00°
Element x y z (fractional)
Ni: 0.0000 0.0000 0.0000
Ag: 0.7500 0.7500 0.7500
B: 0.5000 0.5000 0.5000
Pd: 0.2500 0.2500 0.2500

Most stable one: entry x, least stable one: entry w.

Entry w
Entry from OQMD: a relaxed structure of NiAgBPt (GGA-PBE).

Values from the calculation:
* symmetry: No. 216
* crystal system: cubic

Cell: 4.1474 4.1474 4.1474 Å, 60.00 60.00 60.00°
Element x y z (fractional)
Ni: 0.0000 0.0000 0.0000
Ag: 0.7500 0.7500 0.7500
B: 0.5000 0.5000 0.5000
Pt: 0.2500 0.2500 0.2500

Entry x
Entry from OQMD: a relaxed structure of NiAgBPt (GGA-PBE).

Values from the calculation:
* symmetry: No. 216
* crystal system: cubic

Cell: 4.1813 4.1813 4.1813 Å, 60.00 60.00 60.00°
Element x y z (fractional)
Ni: 0.0000 0.0000 0.0000
Ag: 0.2500 0.2500 0.2500
B: 0.7500 0.7500 0.7500
Pt: 0.5000 0.5000 0.5000

Most stable one: entry w, least stable one: entry x.

Entry w
Entry from OQMD: a relaxed structure of ScNiAgB (GGA-PBE).

Values from the calculation:
* symmetry: No. 216
* crystal system: cubic

Cell: 4.2651 4.2651 4.2651 Å, 60.00 60.00 60.00°
Element x y z (fractional)
Sc: 0.0000 0.0000 0.0000
Ni: 0.2500 0.2500 0.2500
Ag: 0.5000 0.5000 0.5000
B: 0.7500 0.7500 0.7500

Entry x
Entry from OQMD: a relaxed structure of ScNiAgB (GGA-PBE).

Values from the calculation:
* symmetry: No. 216
* crystal system: cubic

Cell: 4.2746 4.2746 4.2746 Å, 60.00 60.00 60.00°
Element x y z (fractional)
Sc: 0.0000 0.0000 0.0000
Ni: 0.5000 0.5000 0.5000
Ag: 0.7500 0.7500 0.7500
B: 0.2500 0.2500 0.2500

Most stable one: entry w, least stable one: entry x.

Entry w
Entry from OQMD: a relaxed structure of TaNiAgB (GGA-PBE).

Values from the calculation:
* symmetry: No. 216
* crystal system: cubic

Cell: 4.2175 4.2175 4.2175 Å, 60.00 60.00 60.00°
Element x y z (fractional)
Ta: 0.0000 0.0000 0.0000
Ni: 0.5000 0.5000 0.5000
Ag: 0.7500 0.7500 0.7500
B: 0.2500 0.2500 0.2500

Entry x
Entry from OQMD: a relaxed structure of TaNiAgB (GGA-PBE).

Values from the calculation:
* symmetry: No. 216
* crystal system: cubic

Cell: 4.1872 4.1872 4.1872 Å, 60.00 60.00 60.00°
Element x y z (fractional)
Ta: 0.0000 0.0000 0.0000
Ni: 0.7500 0.7500 0.7500
Ag: 0.5000 0.5000 0.5000
B: 0.2500 0.2500 0.2500

Most stable one: entry x, least stable one: entry w.

Entry w
Entry from OQMD: a relaxed structure of PmAgB4 (GGA-PBE).

Values from the calculation:
* symmetry: No. 71
* crystal system: orthorhombic

Cell: 5.2027 5.2027 5.2027 Å, 144.71 116.61 74.68°
Element x y z (fractional)
Pm: 0.0000 0.0000 0.0000
Ag: 0.5000 0.5000 0.0000
B: 0.0623 0.7426 0.3197
B: 0.4228 0.7426 0.6803
B: 0.5772 0.2574 0.3197
B: 0.9377 0.2574 0.6803

Entry x
Entry from OQMD: a relaxed structure of PmAgB4 (GGA-PBE).

Values from the calculation:
* symmetry: No. 191
* crystal system: hexagonal

Cell: 3.2429 3.2429 7.5045 Å, 90.00 90.00 120.00°
Element x y z (fractional)
Pm: 0.0000 0.0000 0.0000
Ag: 0.0000 0.0000 0.5000
B: 0.3333 0.6667 0.2626
B: 0.3333 0.6667 0.7374
B: 0.6667 0.3333 0.2626
B: 0.6667 0.3333 0.7374

Most stable one: entry w, least stable one: entry x.